# KW4Se PBE optimized geometry
data_KW4Se
_chemical_formula_sum 'K4 W16 Se4'
_symmetry_space_group_name_H-M 'F -4 3 m'
_symmetry_Int_Tables_number 216
_symmetry_space_group_name_Hall 'F -4 2 3'
_cell_length_a 7.8039
_cell_length_b 7.8039
_cell_length_c 7.8039
_cell_angle_alpha 90.00
_cell_angle_beta 90.00
_cell_angle_gamma 90.00
loop_
_atom_site_label
_atom_site_type_symbol
_atom_site_fract_x
_atom_site_fract_y
_atom_site_fract_z
_atom_site_occupancy
K1 K 0.0000 0.0000 0.0000 1
W1 W 0.1281 0.1281 0.3719 1
Se1 Se 0.2500 0.2500 0.7500 1
# ΔE_f (raw)	8.043	eV/f.u.
# total DFT energy (no corrections)	-8.059	eV/atom
# total magnetic moment	0.000	μB per atom

***

# KW2Se2 PBE optimized geometry
data_KW2Se2
_chemical_formula_sum 'K2 W4 Se4'
_symmetry_space_group_name_H-M 'I 4/m m m'
_symmetry_Int_Tables_number 139
_symmetry_space_group_name_Hall '-I 4 2'
_cell_length_a 3.9614
_cell_length_b 3.9614
_cell_length_c 14.6181
_cell_angle_alpha 90.00
_cell_angle_beta 90.00
_cell_angle_gamma 90.00
loop_
_atom_site_label
_atom_site_type_symbol
_atom_site_fract_x
_atom_site_fract_y
_atom_site_fract_z
_atom_site_occupancy
K1 K 0.0000 0.0000 0.0000 1
W1 W 0.0000 0.5000 0.2500 1
Se1 Se 0.0000 0.0000 0.3642 1
# energy relative to the lowest polymorph listed for this composition	0.000	eV per atom
# ΔE_f (raw)	-0.335	eV/f.u.
# total DFT energy (no corrections)	-6.862	eV/atom
# total magnetic moment	0.000	μB per atom

***

# K2WSe PBE optimized geometry
data_K2WSe
_chemical_formula_sum 'K8 W4 Se4'
_symmetry_space_group_name_H-M 'I -4 2 d'
_symmetry_Int_Tables_number 122
_symmetry_space_group_name_Hall 'I -4 2bw'
_cell_length_a 12.4700
_cell_length_b 12.4700
_cell_length_c 4.8302
_cell_angle_alpha 90.00
_cell_angle_beta 90.00
_cell_angle_gamma 90.00
loop_
_atom_site_label
_atom_site_type_symbol
_atom_site_fract_x
_atom_site_fract_y
_atom_site_fract_z
_atom_site_occupancy
K1 K 0.0666 0.7500 0.1250 1
W1 W 0.0000 0.0000 0.5000 1
Se1 Se 0.0000 0.0000 0.0000 1
# ΔE_f (raw)	2.387	eV/f.u.
# total DFT energy (no corrections)	-4.062	eV/atom
# total magnetic moment	0.846	μB per atom

***

# K2WSe PBE optimized geometry
data_K2WSe
_chemical_formula_sum 'K4 W2 Se2'
_symmetry_space_group_name_H-M 'C m m m'
_symmetry_Int_Tables_number 65
_symmetry_space_group_name_Hall '-C 2 2'
_cell_length_a 5.6892
_cell_length_b 9.4222
_cell_length_c 4.4820
_cell_angle_alpha 90.00
_cell_angle_beta 90.00
_cell_angle_gamma 90.00
loop_
_atom_site_label
_atom_site_type_symbol
_atom_site_fract_x
_atom_site_fract_y
_atom_site_fract_z
_atom_site_occupancy
K1 K 0.2500 0.2500 0.0000 1
W1 W 0.0000 0.0000 0.5000 1
Se1 Se 0.0000 0.5000 0.5000 1
# ΔE_f (raw)	3.566	eV/f.u.
# total DFT energy (no corrections)	-3.767	eV/atom
# total magnetic moment	1.006	μB per atom

***

# KW4Se7 PBE optimized geometry
data_KW4Se7
_chemical_formula_sum 'K2 W8 Se14'
_symmetry_space_group_name_H-M 'P 1 m 1'
_symmetry_Int_Tables_number 6
_symmetry_space_group_name_Hall 'P -2y'
_cell_length_a 6.2452
_cell_length_b 15.4463
_cell_length_c 6.5168
_cell_angle_alpha 90.00
_cell_angle_beta 105.30
_cell_angle_gamma 90.00
loop_
_atom_site_label
_atom_site_type_symbol
_atom_site_fract_x
_atom_site_fract_y
_atom_site_fract_z
_atom_site_occupancy
K1 K 0.0000 0.0000 0.0000 1
K2 K 0.4210 0.5000 0.4406 1
W1 W 0.2929 0.1488 0.6602 1
W2 W 0.3911 0.2368 0.0063 1
W3 W 0.7204 0.3454 0.0262 1
W4 W 0.9206 0.2707 0.7379 1
Se1 Se 0.1450 0.3627 0.0277 1
Se2 Se 0.3516 0.1397 0.2909 1
Se3 Se 0.4222 0.0000 0.7828 1
Se4 Se 0.4903 0.2967 0.6451 1
Se5 Se 0.6333 0.5000 0.9791 1
Se6 Se 0.7891 0.1823 0.0425 1
Se7 Se 0.8923 0.3625 0.4316 1
Se8 Se 0.9010 0.1291 0.5422 1
# ΔE_f (raw)	-2.245	eV/f.u.
# total DFT energy (no corrections)	-6.629	eV/atom
# total magnetic moment	0.000	μB per atom

***

# K2WSe PBE optimized geometry
data_K2WSe
_chemical_formula_sum 'K6 W3 Se3'
_symmetry_space_group_name_H-M 'R -3 m'
_symmetry_Int_Tables_number 166
_symmetry_space_group_name_Hall '-R 3 2"'
_cell_length_a 3.0904
_cell_length_b 3.0904
_cell_length_c 34.5089
_cell_angle_alpha 90.00
_cell_angle_beta 90.00
_cell_angle_gamma 120.00
loop_
_atom_site_label
_atom_site_type_symbol
_atom_site_fract_x
_atom_site_fract_y
_atom_site_fract_z
_atom_site_occupancy
K1 K 0.0000 0.0000 0.2437 1
W1 W 0.0000 0.0000 0.0000 1
Se1 Se 0.0000 0.0000 0.5000 1
# ΔE_f (raw)	3.362	eV/f.u.
# total DFT energy (no corrections)	-3.818	eV/atom
# total magnetic moment	0.104	μB per atom

***

# K2WSe PBE optimized geometry
data_K2WSe
_chemical_formula_sum 'K8 W4 Se4'
_symmetry_space_group_name_H-M 'F -4 3 m'
_symmetry_Int_Tables_number 216
_symmetry_space_group_name_Hall 'F -4 2 3'
_cell_length_a 7.8410
_cell_length_b 7.8410
_cell_length_c 7.8410
_cell_angle_alpha 90.00
_cell_angle_beta 90.00
_cell_angle_gamma 90.00
loop_
_atom_site_label
_atom_site_type_symbol
_atom_site_fract_x
_atom_site_fract_y
_atom_site_fract_z
_atom_site_occupancy
K1 K 0.0000 0.0000 0.0000 1
K2 K 0.2500 0.2500 0.2500 1
W1 W 0.2500 0.2500 0.7500 1
Se1 Se 0.0000 0.0000 0.5000 1
# ΔE_f (raw)	4.083	eV/f.u.
# total DFT energy (no corrections)	-3.637	eV/atom
# total magnetic moment	1.438	μB per atom

***

# K4WSe PBE optimized geometry
data_K4WSe
_chemical_formula_sum 'K16 W4 Se4'
_symmetry_space_group_name_H-M 'F -4 3 m'
_symmetry_Int_Tables_number 216
_symmetry_space_group_name_Hall 'F -4 2 3'
_cell_length_a 9.6254
_cell_length_b 9.6254
_cell_length_c 9.6254
_cell_angle_alpha 90.00
_cell_angle_beta 90.00
_cell_angle_gamma 90.00
loop_
_atom_site_label
_atom_site_type_symbol
_atom_site_fract_x
_atom_site_fract_y
_atom_site_fract_z
_atom_site_occupancy
K1 K 0.1234 0.1234 0.1234 1
W1 W 0.0000 0.0000 0.5000 1
Se1 Se 0.2500 0.2500 0.7500 1
# ΔE_f (raw)	6.138	eV/f.u.
# total DFT energy (no corrections)	-2.448	eV/atom
# total magnetic moment	0.678	μB per atom

***

# KW3Se PBE optimized geometry
data_KW3Se
_chemical_formula_sum 'K1 W3 Se1'
_symmetry_space_group_name_H-M 'P m -3 m'
_symmetry_Int_Tables_number 221
_symmetry_space_group_name_Hall '-P 4 2 3'
_cell_length_a 4.6105
_cell_length_b 4.6105
_cell_length_c 4.6105
_cell_angle_alpha 90.00
_cell_angle_beta 90.00
_cell_angle_gamma 90.00
loop_
_atom_site_label
_atom_site_type_symbol
_atom_site_fract_x
_atom_site_fract_y
_atom_site_fract_z
_atom_site_occupancy
K1 K 0.0000 0.0000 0.0000 1
W1 W 0.0000 0.0000 0.5000 1
Se1 Se 0.5000 0.5000 0.5000 1
# energy relative to the lowest polymorph listed for this composition	1.862	eV per atom
# ΔE_f (raw)	19.220	eV/f.u.
# total DFT energy (no corrections)	-4.844	eV/atom
# total magnetic moment	0.000	μB per atom

***

# K2WSe PBE optimized geometry
data_K2WSe
_chemical_formula_sum 'K2 W1 Se1'
_symmetry_space_group_name_H-M 'P 4 m m'
_symmetry_Int_Tables_number 99
_symmetry_space_group_name_Hall 'P 4 -2'
_cell_length_a 3.3713
_cell_length_b 3.3713
_cell_length_c 10.4861
_cell_angle_alpha 90.00
_cell_angle_beta 90.00
_cell_angle_gamma 90.00
loop_
_atom_site_label
_atom_site_type_symbol
_atom_site_fract_x
_atom_site_fract_y
_atom_site_fract_z
_atom_site_occupancy
K1 K 0.0000 0.0000 0.0000 1
K2 K 0.5000 0.5000 0.4052 1
W1 W 0.5000 0.5000 0.7437 1
Se1 Se 0.0000 0.0000 0.6445 1
# ΔE_f (raw)	1.768	eV/f.u.
# total DFT energy (no corrections)	-4.216	eV/atom
# total magnetic moment	0.000	μB per atom

***

# KYSe2 PBE optimized geometry
data_KYSe2
_chemical_formula_sum 'K16 Y16 Se32'
_symmetry_space_group_name_H-M 'C 1 2/c 1'
_symmetry_Int_Tables_number 15
_symmetry_space_group_name_Hall '-C 2yc'
_cell_length_a 10.7974
_cell_length_b 10.7942
_cell_length_c 18.0413
_cell_angle_alpha 90.00
_cell_angle_beta 99.43
_cell_angle_gamma 90.00
loop_
_atom_site_label
_atom_site_type_symbol
_atom_site_fract_x
_atom_site_fract_y
_atom_site_fract_z
_atom_site_occupancy
K1 K 0.0752 0.1814 0.0811 1
K2 K 0.1676 0.4260 0.4104 1
Y1 Y 0.0246 0.1895 0.8408 1
Y2 Y 0.2326 0.4400 0.6827 1
Se1 Se 0.0000 0.0468 0.2500 1
Se2 Se 0.0000 0.4284 0.7500 1
Se3 Se 0.0889 0.3169 0.5600 1
Se4 Se 0.1790 0.0527 0.9425 1
Se5 Se 0.2394 0.1926 0.7543 1
# ΔE_f (raw)	-6.108	eV/f.u.
# total DFT energy (no corrections)	-5.160	eV/atom
# total magnetic moment	0.000	μB per atom

***

# KYSe4 PBE optimized geometry
data_KYSe4
_chemical_formula_sum 'K2 Y2 Se8'
_symmetry_space_group_name_H-M 'P 4/n b m'
_symmetry_Int_Tables_number 125
_cell_length_a 6.2801
_cell_length_b 6.2801
_cell_length_c 8.3999
_cell_angle_alpha 90.00
_cell_angle_beta 90.00
_cell_angle_gamma 90.00
loop_
_symmetry_equiv_pos_as_xyz
'x,y,z'
'-x,-y,-z'
'-y+1/2,x,z'
'y+1/2,-x,-z'
'-x+1/2,-y+1/2,z'
'x+1/2,y+1/2,-z'
'y,-x+1/2,z'
'-y,x+1/2,-z'
'x,-y+1/2,-z'
'-x,y+1/2,z'
'-y+1/2,-x+1/2,-z'
'y+1/2,x+1/2,z'
'-x+1/2,y,-z'
'x+1/2,-y,z'
'y,x,-z'
'-y,-x,z'
loop_
_atom_site_label
_atom_site_type_symbol
_atom_site_fract_x
_atom_site_fract_y
_atom_site_fract_z
_atom_site_occupancy
K1 K 0.2500 0.2500 0.0000 1
Y1 Y 0.2500 0.2500 0.5000 1
Se1 Se 0.1129 0.6129 0.2934 1
# energy relative to the lowest polymorph listed for this composition	0.000	eV per atom
# ΔE_f (raw)	-6.995	eV/f.u.
# total DFT energy (no corrections)	-4.749	eV/atom
# total magnetic moment	0.000	μB per atom